## RhPbSe2 (PBE)

Data for a relaxed RhPbSe2 crystal.

Results
ΔE_f (raw) ... 370.9 meV/atom
Total magnetic moment ... 0.0000 μB/atom

Cell lengths 4.8874, 4.8874, 4.8874 Å; angles 60.00, 60.00, 60.00 degrees
Atoms (fractional coordinates):
Rh (0.0000, 0.0000, 0.0000)
Pb (0.2500, 0.2500, 0.2500)
Se (0.5000, 0.5000, 0.5000)
Se (0.7500, 0.7500, 0.7500)

=====

## Sr2Cd7Ag (PBE)

Data for a relaxed Sr2Cd7Ag crystal.

Results
Total magnetic moment ... 0.0000 μB/atom

Cell lengths 4.5795, 4.5795, 12.8921 Å; angles 90.00, 90.00, 90.00 degrees
Atoms (fractional coordinates):
Sr (0.0000, 0.5000, 0.2467)
Sr (0.5000, 0.0000, 0.7533)
Cd (0.0000, 0.0000, 0.0000)
Cd (0.0000, 0.0000, 0.5000)
Cd (0.0000, 0.5000, 0.6433)
Cd (0.0000, 0.5000, 0.8628)
Cd (0.5000, 0.0000, 0.1372)
Cd (0.5000, 0.0000, 0.3567)
Cd (0.5000, 0.5000, 0.5000)
Ag (0.5000, 0.5000, 0.0000)

=====

no.,energy (eV per atom)
1,-4.14
2,-1.50